Entry 1:
First-principles (GGA-PBE) data for a relaxed structure of Ga3CoB, as listed in Alexandria via LeMat-Bulk.

Values from the calculation:
Total DFT energy (no corrections) (eV per atom): -3.821
Symmetry: Pm-3m, No. 221
DOS(E_F) (states/eV/f.u.): 4.29
ΔH_f (0 K) (eV per atom): 0.752

CIF file:
```
data_Ga3CoB
_symmetry_space_group_name_H-M 'P 1'
_symmetry_Int_Tables_number 1
_cell_length_a 4.2179
_cell_length_b 4.2179
_cell_length_c 4.2179
_cell_angle_alpha 90.00
_cell_angle_beta 90.00
_cell_angle_gamma 90.00
loop_
_symmetry_equiv_pos_as_xyz
'x,y,z'
loop_
_atom_site_label
_atom_site_type_symbol
_atom_site_fract_x
_atom_site_fract_y
_atom_site_fract_z
_atom_site_occupancy
B1 B 0.0000 0.0000 0.0000 1
Co1 Co 0.5000 0.5000 0.5000 1
Ga1 Ga 0.0000 0.5000 0.0000 1
Ga2 Ga 0.0000 0.0000 0.5000 1
Ga3 Ga 0.5000 0.0000 0.0000 1
```


Entry 2:
First-principles (GGA-PBE) data for a relaxed structure of GaCo3B, as listed in Alexandria via LeMat-Bulk.

Values from the calculation:
Total DFT energy (no corrections) (eV per atom): -6.349
Symmetry: Pm-3m, No. 221
Excess energy over the best structure of this formula in the dataset (meV per atom): 3.3
DOS(E_F) (states/eV/f.u.): 2.37
ΔH_f (0 K) (eV per atom): -0.144

CIF file:
```
data_GaCo3B
_symmetry_space_group_name_H-M 'P 1'
_symmetry_Int_Tables_number 1
_cell_length_a 3.7796
_cell_length_b 3.7796
_cell_length_c 3.7796
_cell_angle_alpha 90.00
_cell_angle_beta 90.00
_cell_angle_gamma 90.00
loop_
_symmetry_equiv_pos_as_xyz
'x,y,z'
loop_
_atom_site_label
_atom_site_type_symbol
_atom_site_fract_x
_atom_site_fract_y
_atom_site_fract_z
_atom_site_occupancy
B1 B 0.0000 0.0000 0.0000 1
Co1 Co 0.0000 0.5000 0.0000 1
Co2 Co 0.0000 0.0000 0.5000 1
Co3 Co 0.5000 0.0000 0.0000 1
Ga1 Ga 0.5000 0.5000 0.5000 1
```